# 1
The following is a DFT calculation (PBE) of a relaxed structure of CaTbCuRh.

Properties
- E_form: -0.4497 eV/atom
- Energy above the most stable polymorph in this dataset: 0 meV/atom
- Total magnetic moment: 0.00 μB/cell

abc: 4.1413 3.9110 10.9940
angles: 90.00 90.00 90.00
With the nearest neighbours (Å) after each atom.
Space group Amm2 (No. 38)
One atom of each set of equivalent atoms:
Ca (0.0000, 0.0000, 0.0000) (multiplicity 2)  4 Cu 2.97, 3 Rh 3.06-3.13
Tb (0.5000, 0.0000, 0.7185) (multiplicity 2)  4 Rh 2.92, 3 Cu 2.99-3.24
Cu (0.5000, 0.0000, 0.4242) (multiplicity 2)  2 Rh 2.62
Rh (0.0000, 0.0000, 0.2779) (multiplicity 2)  2 Cu 2.62, 4 Tb 2.92

=====

# 2
The following is a DFT calculation (PBE) of a relaxed structure of CaThCuRh.

Properties
- E_form: -0.3484 eV/atom
- Total magnetic moment: 0.00 μB/cell

abc: 7.0542 7.0542 7.0542
angles: 90.00 90.00 90.00
With the nearest neighbours (Å) after each atom.
Space group F-43m (No. 216)
One atom of each set of equivalent atoms:
Ca (0.0000, 0.0000, 0.0000) (multiplicity 4)  4 Rh 3.05, 4 Cu 3.05
Th (0.0000, 0.0000, 0.5000) (multiplicity 4)  4 Cu 3.05, 4 Rh 3.05
Cu (0.2500, 0.2500, 0.7500) (multiplicity 4)  4 Th 3.05, 4 Ca 3.05
Rh (0.2500, 0.2500, 0.2500) (multiplicity 4)  4 Th 3.05, 4 Ca 3.05

=====

# 3
The following is a DFT calculation (PBE) of a relaxed structure of CaTlCuRh.

Properties
- E_form: -0.0837 eV/atom
- Total magnetic moment: 0.00 μB/cell

abc: 6.7482 6.7482 6.7482
angles: 90.00 90.00 90.00
With the nearest neighbours (Å) after each atom.
Space group F-43m (No. 216)
One atom of each set of equivalent atoms:
Ca (0.0000, 0.0000, 0.0000) (multiplicity 4)  4 Cu 2.92, 4 Rh 2.92
Tl (0.0000, 0.0000, 0.5000) (multiplicity 4)  4 Cu 2.92, 4 Rh 2.92
Cu (0.2500, 0.2500, 0.2500) (multiplicity 4)  4 Tl 2.92, 4 Ca 2.92
Rh (0.2500, 0.2500, 0.7500) (multiplicity 4)  4 Tl 2.92, 4 Ca 2.92

=====

# 4
The following is a DFT calculation (PBE) of a relaxed structure of CaTmCuRh.

Properties
- E_form: -0.4049 eV/atom
- Total magnetic moment: 0.00 μB/cell

abc: 6.8573 6.8573 6.8573
angles: 90.00 90.00 90.00
With the nearest neighbours (Å) after each atom.
Space group F-43m (No. 216)
One atom of each set of equivalent atoms:
Ca (0.0000, 0.0000, 0.0000) (multiplicity 4)  4 Rh 2.97, 4 Cu 2.97
Tm (0.0000, 0.0000, 0.5000) (multiplicity 4)  4 Cu 2.97, 4 Rh 2.97
Cu (0.2500, 0.2500, 0.7500) (multiplicity 4)  4 Ca 2.97, 4 Tm 2.97
Rh (0.2500, 0.2500, 0.2500) (multiplicity 4)  4 Ca 2.97, 4 Tm 2.97

=====

# 5
The following is a DFT calculation (PBE) of a relaxed structure of CaVCuRh2.

Properties
- E_form: 0.5647 eV/atom
- Total magnetic moment: 2.30 μB/cell

abc: 4.6997 4.6997 4.4063
angles: 90.00 90.00 90.00
With the nearest neighbours (Å) after each atom.
Space group P4/mmm (No. 123)
One atom of each set of equivalent atoms:
Ca (0.0000, 0.0000, 0.0000) (multiplicity 1)  8 Rh 3.22, 4 V 3.32
V (0.5000, 0.5000, 0.0000) (multiplicity 1)  2 Cu 2.20
Cu (0.5000, 0.5000, 0.5000) (multiplicity 1)  2 V 2.20, 4 Rh 2.35
Rh (0.0000, 0.5000, 0.5000) (multiplicity 2)  2 Cu 2.35

=====

# 6
The following is a DFT calculation (PBE) of a relaxed structure of Ca2Zn3Cu12Rh.

Properties
- E_form: 0.1346 eV/atom
- Total magnetic moment: 0.00 μB/cell

abc: 6.0948 6.0948 27.8345
angles: 90.00 90.00 120.00
With the nearest neighbours (Å) after each atom.
Space group R-3m (No. 166, hexagonal axes)
One atom of each set of equivalent atoms:
Ca (0.0000, 0.0000, 0.1497) (multiplicity 6)  12 Cu 3.09-3.44
Zn (0.0000, 0.5000, 0.0000) (multiplicity 9)  6 Cu 2.42-2.62
Cu (0.0558, 0.5279, 0.0936) (multiplicity 18)  4 Cu 2.42-2.54, 1 Rh 2.51, 1 Zn 2.62
Cu (0.0708, 0.5354, 0.6164) (multiplicity 18)  4 Cu 2.40-2.42, 2 Zn 2.42
Rh (0.0000, 0.0000, 0.5000) (multiplicity 3)  6 Cu 2.51

=====

# 7
The following is a DFT calculation (PBE) of a relaxed structure of Ca2ZnCu5Rh2.

Properties
- E_form: -0.0923 eV/atom
- Total magnetic moment: 0.00 μB/cell

abc: 9.3235 9.3235 3.7842
angles: 90.00 90.00 90.00
With the nearest neighbours (Å) after each atom.
Space group P4/mbm (No. 127)
One atom of each set of equivalent atoms:
Ca (0.1693, 0.3307, 0.0000) (multiplicity 4)  3 Rh 2.61-2.83, 2 Cu 2.93
Zn (0.0000, 0.0000, 0.0000) (multiplicity 2)  8 Cu 2.65
Cu (0.0000, 0.5000, 0.5000) (multiplicity 2)  4 Rh 2.57
Cu (0.0595, 0.8093, 0.5000) (multiplicity 8)  2 Rh 2.60, 2 Cu 2.63, 2 Zn 2.65
Rh (0.1324, 0.6324, 0.0000) (multiplicity 4)  6 Cu 2.57-2.60, 3 Ca 2.61-2.83

=====

# 8
The following is a DFT calculation (PBE) of a relaxed structure of CaZrCuRh.

Properties
- E_form: -0.2595 eV/atom
- Total magnetic moment: 0.00 μB/cell

abc: 6.7234 6.7234 6.7234
angles: 90.00 90.00 90.00
With the nearest neighbours (Å) after each atom.
Space group F-43m (No. 216)
One atom of each set of equivalent atoms:
Ca (0.0000, 0.0000, 0.0000) (multiplicity 4)  4 Rh 2.91, 4 Cu 2.91
Zr (0.0000, 0.0000, 0.5000) (multiplicity 4)  4 Cu 2.91, 4 Rh 2.91
Cu (0.2500, 0.2500, 0.7500) (multiplicity 4)  4 Zr 2.91, 4 Ca 2.91
Rh (0.2500, 0.2500, 0.2500) (multiplicity 4)  4 Zr 2.91, 4 Ca 2.91

=====

# 9
The following is a DFT calculation (PBE) of a relaxed structure of CaCu2Ru.

Properties
- E_form: 0.2436 eV/atom
- Energy above the most stable polymorph in this dataset: 7 meV/atom
- Total magnetic moment: 0.00 μB/cell

abc: 3.2934 4.3815 4.3850
angles: 90.00 90.00 90.00
With the nearest neighbours (Å) after each atom.
Space group Pmm2 (No. 25)
One atom of each set of equivalent atoms:
Ca (0.0000, 0.0000, 0.0000) (multiplicity 1)  8 Cu 2.74
Cu (0.5000, 0.0000, 0.5002) (multiplicity 1)  4 Ru 2.74, 4 Ca 2.74, 2 Cu 3.05
Cu (0.5000, 0.5000, 0.9849) (multiplicity 1)  4 Ru 2.71-2.77, 4 Ca 2.74
Ru (0.0000, 0.5000, 0.4928) (multiplicity 1)  8 Cu 2.71-2.77

=====

# 10
The following is a DFT calculation (PBE) of a relaxed structure of Ca2CuRu2.

Properties
- E_form: 0.1924 eV/atom
- Total magnetic moment: 1.90 μB/cell

abc: 6.5931 6.5931 4.5883
angles: 90.00 90.00 90.00
With the nearest neighbours (Å) after each atom.
Space group P4/mbm (No. 127)
One atom of each set of equivalent atoms:
Ca (0.1789, 0.3211, 0.0000) (multiplicity 4)  6 Ru 2.92-3.07
Cu (0.0000, 0.0000, 0.5000) (multiplicity 2)  4 Ru 2.60
Ru (0.1270, 0.6270, 0.5000) (multiplicity 4)  1 Ru 2.37, 2 Cu 2.60

=====

# 11
The following is a DFT calculation (PBE) of a relaxed structure of CaCuRu.

Properties
- E_form: 1.2102 eV/atom
- Energy above the most stable polymorph in this dataset: 1268 meV/atom
- Total magnetic moment: 3.78 μB/cell

abc: 6.3393 6.3393 6.3393
angles: 90.00 90.00 90.00
With the nearest neighbours (Å) after each atom.
Space group F-43m (No. 216)
One atom of each set of equivalent atoms:
Ca (0.0000, 0.0000, 0.0000) (multiplicity 4)  4 Ru 2.75, 4 Cu 2.75
Cu (0.2500, 0.2500, 0.7500) (multiplicity 4)  4 Ca 2.75
Ru (0.2500, 0.2500, 0.2500) (multiplicity 4)  4 Ca 2.75

=====

# 12
The following is a DFT calculation (PBE) of a relaxed structure of CaCu2Ru.

Properties
- E_form: 0.2985 eV/atom
- Energy above the most stable polymorph in this dataset: 62 meV/atom
- Total magnetic moment: 0.00 μB/cell

abc: 6.3707 6.3707 6.3707
angles: 90.00 90.00 90.00
With the nearest neighbours (Å) after each atom.
Space group Fm-3m (No. 225)
One atom of each set of equivalent atoms:
Ca (0.0000, 0.0000, 0.0000) (multiplicity 4)  8 Cu 2.76
Cu (0.2500, 0.2500, 0.2500) (multiplicity 8)  4 Ru 2.76, 4 Ca 2.76
Ru (0.0000, 0.0000, 0.5000) (multiplicity 4)  8 Cu 2.76

=====

# 13
The following is a DFT calculation (PBE) of a relaxed structure of CaCu4Ru.

Properties
- E_form: 0.1130 eV/atom
- Total magnetic moment: 0.00 μB/cell

abc: 7.0370 7.0370 7.0370
angles: 90.00 90.00 90.00
With the nearest neighbours (Å) after each atom.
Space group F-43m (No. 216)
One atom of each set of equivalent atoms:
Ca (0.0000, 0.0000, 0.0000) (multiplicity 4)  12 Cu 2.92, 4 Ru 3.05
Cu (0.1241, 0.1241, 0.6241) (multiplicity 16)  6 Cu 2.47-2.51
Ru (0.2500, 0.2500, 0.2500) (multiplicity 4)  12 Cu 2.92, 4 Ca 3.05

=====

# 14
The following is a DFT calculation (PBE) of a relaxed structure of CaCu2Ru.

Properties
- E_form: 0.2917 eV/atom
- Energy above the most stable polymorph in this dataset: 55 meV/atom
- Total magnetic moment: 1.21 μB/cell

abc: 3.1049 3.1049 6.9009
angles: 90.00 90.00 90.00
With the nearest neighbours (Å) after each atom.
Space group P4mm (No. 99)
One atom of each set of equivalent atoms:
Ca (0.0000, 0.0000, 0.0000) (multiplicity 1)  4 Ru 3.04, 5 Cu 3.08-3.37, 4 Ca 3.10
Cu (0.0000, 0.0000, 0.4886) (multiplicity 1)  4 Cu 2.51, 4 Ru 2.62
Cu (0.5000, 0.5000, 0.3132) (multiplicity 1)  4 Cu 2.51, 1 Ru 2.64
Ru (0.5000, 0.5000, 0.6958) (multiplicity 1)  5 Cu 2.62-2.64

=====

# 15
The following is a DFT calculation (PBE) of a relaxed structure of CaCuRu.

Properties
- E_form: 0.3241 eV/atom
- Energy above the most stable polymorph in this dataset: 382 meV/atom
- Total magnetic moment: 0.00 μB/cell

abc: 4.2333 4.2333 3.7530
angles: 90.00 90.00 120.00
With the nearest neighbours (Å) after each atom.
Space group P-6m2 (No. 187)
One atom of each set of equivalent atoms:
Ca (0.0000, 0.0000, 0.0000) (multiplicity 1)  6 Ru 3.08, 6 Cu 3.08
Cu (0.6667, 0.3333, 0.5000) (multiplicity 1)  3 Ru 2.44
Ru (0.3333, 0.6667, 0.5000) (multiplicity 1)  3 Cu 2.44

=====

# 16
The following is a DFT calculation (PBE) of a relaxed structure of CaCu2Ru.

Properties
- E_form: 0.2364 eV/atom
- Energy above the most stable polymorph in this dataset: 0 meV/atom
- Total magnetic moment: 0.00 μB/cell

abc: 3.2769 3.2893 6.2046
angles: 90.00 90.00 90.00
With the nearest neighbours (Å) after each atom.
Space group Pmmm (No. 47)
One atom of each set of equivalent atoms:
Ca (0.0000, 0.0000, 0.0000) (multiplicity 1)  8 Cu 3.00, 2 Ru 3.10, 4 Ca 3.28-3.29
Cu (0.5000, 0.5000, 0.3065) (multiplicity 2)  1 Cu 2.40, 4 Ru 2.61
Ru (0.0000, 0.0000, 0.5000) (multiplicity 1)  8 Cu 2.61

=====

# 17
The following is a DFT calculation (PBE) of a relaxed structure of CaCuRu4.

Properties
- E_form: 0.4435 eV/atom
- Total magnetic moment: 10.23 μB/cell

abc: 7.3668 7.3668 7.3668
angles: 90.00 90.00 90.00
With the nearest neighbours (Å) after each atom.
Space group F-43m (No. 216)
One atom of each set of equivalent atoms:
Ca (0.0000, 0.0000, 0.0000) (multiplicity 4)  12 Ru 3.06, 4 Cu 3.19
Cu (0.2500, 0.2500, 0.7500) (multiplicity 4)  12 Ru 3.05, 4 Ca 3.19
Ru (0.1243, 0.1243, 0.3757) (multiplicity 16)  6 Ru 2.59-2.62

=====

# 18
The following is a DFT calculation (PBE) of a relaxed structure of CaCu2Ru.

Properties
- E_form: 0.6232 eV/atom
- Energy above the most stable polymorph in this dataset: 387 meV/atom
- Total magnetic moment: 0.12 μB/cell

abc: 2.8475 2.8475 27.2842
angles: 90.00 90.00 120.00
With the nearest neighbours (Å) after each atom.
Space group R-3m (No. 166, hexagonal axes)
One atom of each set of equivalent atoms:
Ca (0.0000, 0.0000, 0.0000) (multiplicity 3)  6 Ca 2.85, 6 Cu 2.97
Cu (0.0000, 0.0000, 0.2425) (multiplicity 6)  3 Ru 2.64, 6 Cu 2.85
Ru (0.0000, 0.0000, 0.5000) (multiplicity 3)  6 Cu 2.64, 6 Ru 2.85

=====

# 19
The following is a DFT calculation (PBE) of a relaxed structure of CaCuRu.

Properties
- E_form: 0.1071 eV/atom
- Energy above the most stable polymorph in this dataset: 165 meV/atom
- Total magnetic moment: 0.00 μB/cell

abc: 4.2975 5.6451 5.7834
angles: 72.55 68.24 89.89
With the nearest neighbours (Å) after each atom.
Space group P-1 (No. 2)
One atom of each set of equivalent atoms:
Ca (0.1074, 0.3041, 0.2853) (multiplicity 2)  4 Ru 2.95-3.25, 5 Cu 3.02-3.24
Cu (0.4084, 0.3058, 0.6817) (multiplicity 2)  1 Cu 2.42, 3 Ru 2.51-2.63
Ru (0.2246, 0.8983, 0.0516) (multiplicity 2)  2 Ru 2.41-2.42, 3 Cu 2.51-2.63

=====

# 20
The following is a DFT calculation (PBE) of a relaxed structure of CaCuRu.

Properties
- E_form: -0.0583 eV/atom
- Energy above the most stable polymorph in this dataset: 0 meV/atom
- Total magnetic moment: 0.00 μB/cell

abc: 5.0418 5.3769 7.7898
angles: 90.00 90.00 90.00
With the nearest neighbours (Å) after each atom.
Space group Imma (No. 74)
One atom of each set of equivalent atoms:
Ca (0.0000, 0.2500, 0.1188) (multiplicity 4)  6 Cu 3.00-3.26, 6 Ru 3.14, 4 Ca 3.25-3.26
Cu (0.0000, 0.0000, 0.5000) (multiplicity 4)  4 Ru 2.68, 2 Cu 2.69
Ru (0.2500, 0.2500, 0.7500) (multiplicity 4)  2 Ru 2.52, 4 Cu 2.68